1.
Ac2TmGe4Pt3, relaxed, DFT PBE; energy of formation from the pure elements = -0.9416 eV/atom; final energy = -58.7 eV for the cell shown; SG = P-4m2 (115); M_tot = 0.00 μB per cell; V = 22.07 Å³/atom
1.0
4.4254 0.0000 0.0000
0.0000 4.4254 0.0000
0.0000 0.0000 11.2699
Ac Tm Ge Pt
2 1 4 3
Direct
0.0000 0.5000 0.2333
0.5000 0.0000 0.7667
0.0000 0.0000 0.5000
0.0000 0.0000 0.0000
0.0000 0.5000 0.6560
0.5000 0.0000 0.3440
0.5000 0.5000 0.0000
0.0000 0.5000 0.8840
0.5000 0.0000 0.1160
0.5000 0.5000 0.5000

2.
LiHoZnF6, relaxed, DFT PBE; formation energy (no corrections) = -3.18 eV per atom; final energy = -95.2 eV for the cell shown; SG = P-31c (163); M_tot = 0.00 μB per cell; V = 13.14 Å³/atom
1.0
5.5177 0.0000 0.0000
-2.7588 4.7784 0.0000
0.0000 0.0000 8.9688
Li Ho Zn F
2 2 2 12
Direct
0.0000 0.0000 0.0000
0.0000 0.0000 0.5000
0.3333 0.6667 0.2500
0.6667 0.3333 0.7500
0.3333 0.6667 0.7500
0.6667 0.3333 0.2500
0.0162 0.3449 0.6282
0.0162 0.6713 0.8718
0.3287 0.3449 0.8718
0.3287 0.9838 0.6282
0.3449 0.0162 0.1282
0.3449 0.3287 0.3718
0.6551 0.6713 0.6282
0.6551 0.9838 0.8718
0.6713 0.0162 0.3718
0.6713 0.6551 0.1282
0.9838 0.3287 0.1282
0.9838 0.6551 0.3718

3.
DyEr2ThN4, relaxed, DFT PBE; formation energy (no corrections) = -1.70 eV per atom; final energy = -68.1 eV for the cell shown; SG = P2/m (10); M_tot = 0.00 μB per cell; V = 15.22 Å³/atom
1.0
6.0623 0.0000 0.0000
0.0000 3.5108 0.0000
-2.0064 0.0000 5.7209
Dy Er Th N
1 2 1 4
Direct
0.0000 0.0000 0.0000
0.0000 0.5000 0.5000
0.5000 0.0000 0.5000
0.5000 0.5000 0.0000
0.2463 0.0000 0.7439
0.2511 0.5000 0.2531
0.7489 0.5000 0.7469
0.7537 0.0000 0.2561

4.
PmHo4Tm2, relaxed, DFT PBE; energy of formation from the pure elements = 0.0339 eV/atom; final energy = -31.8 eV for the cell shown; SG = C2/m (12); M_tot = 0.00 μB per cell; V = 31.32 Å³/atom; distance to the lowest polymorph of the same formula = 0.0000 eV/atom
1.0
8.2654 -1.7523 0.0000
8.2654 1.7523 0.0000
-4.2415 0.0000 7.5693
Pm Ho Tm
1 4 2
Direct
0.0000 0.0000 0.0000
0.2950 0.2950 0.7059
0.3596 0.3596 0.1693
0.6404 0.6404 0.8307
0.7050 0.7050 0.2941
0.0707 0.0707 0.4305
0.9293 0.9293 0.5695

5.
Tl2CuRh, relaxed, DFT PBE; energy of formation from the pure elements = 0.1534 eV/atom; final energy = -15.6 eV for the cell shown; SG = Pm (6); M_tot = 0.00 μB per cell; V = 19.73 Å³/atom; distance to the lowest polymorph of the same formula = 0.0000 eV/atom
1.0
3.7201 0.0000 0.0000
0.0000 4.1190 0.0000
-1.8528 0.0000 5.1512
Tl Cu Rh
2 1 1
Direct
0.0000 0.0000 0.0000
0.2918 0.5000 0.5857
0.5691 0.5000 0.1370
0.7201 0.0000 0.4418

6.
YTiNb2, relaxed, DFT PBE; energy of formation from the pure elements = 0.3892 eV/atom; final energy = -32.9 eV for the cell shown; SG = Fm-3m (225); M_tot = 0.00 μB per cell; V = 20.12 Å³/atom; distance to the lowest polymorph of the same formula = 0.0000 eV/atom
1.0
0.0000 3.4265 3.4265
3.4265 0.0000 3.4265
3.4265 3.4265 0.0000
Y Ti Nb
1 1 2
Direct
0.0000 0.0000 0.0000
0.5000 0.5000 0.5000
0.2500 0.2500 0.2500
0.7500 0.7500 0.7500

7.
K2PuAlF8, relaxed, DFT PBE; formation energy (no corrections) = -3.06 eV per atom; final energy = -72.0 eV for the cell shown; SG = P-3m1 (164); M_tot = 5.00 μB per cell; V = 14.33 Å³/atom
1.0
5.4964 0.0000 0.0000
-2.7482 4.7600 0.0000
0.0000 0.0000 6.5733
K Pu Al F
2 1 1 8
Direct
0.3333 0.6667 0.3716
0.6667 0.3333 0.6284
0.0000 0.0000 0.0000
0.0000 0.0000 0.5000
0.1474 0.2948 0.6757
0.1474 0.8526 0.6757
0.2948 0.1474 0.3243
0.3333 0.6667 0.0132
0.6667 0.3333 0.9868
0.7052 0.8526 0.6757
0.8526 0.1474 0.3243
0.8526 0.7052 0.3243

8.
TaMo2Rh2, relaxed, DFT PBE; energy of formation from the pure elements = -0.0243 eV/atom; final energy = -96.7 eV for the cell shown; SG = P4/mbm (127); M_tot = 0.00 μB per cell; V = 16.01 Å³/atom; distance to the lowest polymorph of the same formula = 0.0000 eV/atom
1.0
7.5931 0.0000 0.0000
0.0000 7.5931 0.0000
0.0000 0.0000 2.7770
Ta Mo Rh
2 4 4
Direct
0.0000 0.0000 0.0000
0.5000 0.5000 0.0000
0.1727 0.3273 0.5000
0.3273 0.8273 0.5000
0.6727 0.1727 0.5000
0.8273 0.6727 0.5000
0.1246 0.6246 0.0000
0.3754 0.1246 0.0000
0.6246 0.8754 0.0000
0.8754 0.3754 0.0000

9.
InOs2Au, relaxed, DFT PBE; energy of formation from the pure elements = 0.7852 eV/atom; final energy = -50.7 eV for the cell shown; SG = I-42d (122); M_tot = 0.00 μB per cell; V = 19.38 Å³/atom
1.0
-1.9872 1.9872 9.8141
1.9872 -1.9872 9.8141
1.9872 1.9872 -9.8141
In Os Au
2 4 2
Direct
0.0000 0.0000 0.0000
0.7500 0.2500 0.5000
0.2089 0.6250 0.0839
0.3750 0.4589 0.5839
0.5411 0.1250 0.9161
0.8750 0.7911 0.4161
0.2500 0.7500 0.5000
0.5000 0.5000 0.0000

10.
VGaAu, relaxed, DFT PBE; energy of formation from the pure elements = -0.0841 eV/atom; final energy = -31.4 eV for the cell shown; SG = P-1 (2); M_tot = 0.00 μB per cell; V = 15.74 Å³/atom
1.0
3.0644 0.0000 0.0000
-1.5206 4.5909 0.0000
-0.0065 -2.4313 6.7143
V Ga Au
2 2 2
Direct
0.1680 0.3346 0.0508
0.8320 0.6654 0.9492
0.4850 0.9697 0.7549
0.5150 0.0303 0.2451
0.1705 0.3419 0.6195
0.8295 0.6581 0.3805

11.
Th2ZrPa, relaxed, DFT PBE; energy of formation from the pure elements = 0.1590 eV/atom; final energy = -32.2 eV for the cell shown; SG = P4/mmm (123); M_tot = 0.00 μB per cell; V = 28.10 Å³/atom; distance to the lowest polymorph of the same formula = 0.0538 eV/atom
1.0
4.9265 0.0000 0.0000
0.0000 4.9265 0.0000
0.0000 0.0000 4.6313
Th Zr Pa
2 1 1
Direct
0.0000 0.5000 0.0000
0.5000 0.0000 0.0000
0.0000 0.0000 0.5000
0.5000 0.5000 0.5000

12.
SrFeTe2Pb, relaxed, DFT PBE; formation energy (no corrections) = -0.26 eV per atom; final energy = -21.4 eV for the cell shown; SG = P4/mmm (123); M_tot = 2.14 μB per cell; V = 30.26 Å³/atom
1.0
5.5198 0.0000 0.0000
0.0000 5.5198 0.0000
0.0000 0.0000 4.9658
Sr Fe Te Pb
1 1 2 1
Direct
0.0000 0.0000 0.0000
0.5000 0.5000 0.5000
0.0000 0.5000 0.5000
0.5000 0.0000 0.5000
0.5000 0.5000 0.0000

13.
Ta3BeI, relaxed, DFT PBE; formation energy (no corrections) = 1.07 eV per atom; final energy = -35.5 eV for the cell shown; SG = Pm-3m (221); M_tot = 0.00 μB per cell; V = 18.60 Å³/atom; distance to the lowest polymorph of the same formula = 0.0000 eV/atom
1.0
4.5306 0.0000 0.0000
0.0000 4.5306 0.0000
0.0000 0.0000 4.5306
Ta Be I
3 1 1
Direct
0.0000 0.0000 0.5000
0.0000 0.5000 0.0000
0.5000 0.0000 0.0000
0.0000 0.0000 0.0000
0.5000 0.5000 0.5000

14.
CeCdCu2, relaxed, DFT PBE; energy of formation from the pure elements = -0.0063 eV/atom; final energy = -15.1 eV for the cell shown; SG = P4/mmm (123); M_tot = 0.39 μB per cell; V = 18.63 Å³/atom
1.0
3.2256 0.0000 0.0000
0.0000 3.2256 0.0000
0.0000 0.0000 7.1620
Ce Cd Cu
1 1 2
Direct
0.0000 0.0000 0.0000
0.0000 0.0000 0.5000
0.5000 0.5000 0.2808
0.5000 0.5000 0.7192

15.
K3Tl2Cd4, relaxed, DFT PBE; energy of formation from the pure elements = -0.0856 eV/atom; final energy = -12.5 eV for the cell shown; SG = P-1 (2); M_tot = 0.00 μB per cell; V = 35.52 Å³/atom
1.0
5.2228 0.0000 0.0000
2.5994 6.4034 0.0000
0.0445 3.0412 9.5584
K Tl Cd
3 2 4
Direct
0.0000 0.0000 0.0000
0.3919 0.2165 0.6372
0.6081 0.7835 0.3628
0.2841 0.4320 0.2529
0.7159 0.5680 0.7471
0.0933 0.8140 0.6318
0.2684 0.4629 0.9339
0.7316 0.5371 0.0661
0.9067 0.1860 0.3682

16.
Pr2NdAs3Pt4, relaxed, DFT PBE; energy of formation from the pure elements = -0.9214 eV/atom; final energy = -61.7 eV for the cell shown; SG = P-4m2 (115); M_tot = 0.00 μB per cell; V = 21.69 Å³/atom
1.0
4.3560 0.0000 0.0000
0.0000 4.3560 0.0000
0.0000 0.0000 11.4303
Pr Nd As Pt
2 1 3 4
Direct
0.0000 0.5000 0.2122
0.5000 0.0000 0.7878
0.0000 0.0000 0.5000
0.0000 0.5000 0.8767
0.5000 0.0000 0.1233
0.5000 0.5000 0.5000
0.0000 0.0000 0.0000
0.0000 0.5000 0.6632
0.5000 0.0000 0.3368
0.5000 0.5000 0.0000

17.
NaLi2ScH, relaxed, DFT PBE; final energy = -14.4 eV for the cell shown; SG = P4/mmm (123); M_tot = 0.00 μB per cell; V = 19.26 Å³/atom
1.0
4.9427 0.0000 0.0000
0.0000 4.9427 0.0000
0.0000 0.0000 3.9410
Na Li Sc H
1 2 1 1
Direct
0.0000 0.0000 0.0000
0.0000 0.5000 0.5000
0.5000 0.0000 0.5000
0.5000 0.5000 0.0000
0.5000 0.5000 0.5000

18.
TaInW2, relaxed, DFT PBE; energy of formation from the pure elements = 0.3339 eV/atom; final energy = -39.2 eV for the cell shown; SG = C2/m (12); M_tot = 0.00 μB per cell; V = 17.61 Å³/atom
1.0
2.8511 -4.6550 0.0000
2.8511 4.6550 0.0000
-0.9521 0.0000 2.6544
Ta In W
1 1 2
Direct
0.0000 0.0000 0.0000
0.5000 0.5000 0.0000
0.0000 0.5000 0.5000
0.5000 0.0000 0.5000

19.
HgTe2Se, relaxed, DFT PBE; formation energy (no corrections) = 0.24 eV per atom; final energy = -9.1 eV for the cell shown; SG = R-3m (166); M_tot = 0.00 μB per cell; V = 28.95 Å³/atom; distance to the lowest polymorph of the same formula = 0.2337 eV/atom
1.0
1.6655 0.9616 12.0506
-1.6655 0.9616 12.0506
0.0000 -1.9231 12.0506
Hg Te Se
1 2 1
Direct
0.0000 0.0000 0.0000
0.4236 0.4236 0.4236
0.5764 0.5764 0.5764
0.5000 0.5000 0.5000

20.
LiNi2Ru, relaxed, DFT PBE; energy of formation from the pure elements = 0.0413 eV/atom; final energy = -22.6 eV for the cell shown; SG = Cm (8); M_tot = 0.00 μB per cell; V = 12.11 Å³/atom; distance to the lowest polymorph of the same formula = 0.0077 eV/atom
1.0
4.5097 -1.2642 0.0000
4.5097 1.2642 0.0000
-1.1901 0.0000 4.2470
Li Ni Ru
1 2 1
Direct
0.0000 0.0000 0.0000
0.2430 0.2430 0.8586
0.5271 0.5271 0.5089
0.7827 0.7827 0.3739

21.
Ce5GeRh2, relaxed, DFT PBE; energy of formation from the pure elements = -0.5696 eV/atom; final energy = -107.1 eV for the cell shown; SG = I4/mcm (140); M_tot = 8.09 μB per cell; V = 24.00 Å³/atom; distance to the lowest polymorph of the same formula = 0.0000 eV/atom
1.0
-3.8874 3.8874 6.3527
3.8874 -3.8874 6.3527
3.8874 3.8874 -6.3527
Ce Ge Rh
10 2 4
Direct
0.0000 0.0000 0.0000
0.0183 0.5183 0.8346
0.1837 0.0183 0.5000
0.3163 0.8163 0.8346
0.4817 0.3163 0.5000
0.5000 0.5000 0.0000
0.5183 0.6837 0.5000
0.6837 0.1837 0.1654
0.8163 0.9817 0.5000
0.9817 0.4817 0.1654
0.2500 0.2500 0.0000
0.7500 0.7500 0.0000
0.1339 0.3661 0.5000
0.3661 0.8661 0.2321
0.6339 0.1339 0.7679
0.8661 0.6339 0.5000

22.
Ac2LaEr, relaxed, DFT PBE; energy of formation from the pure elements = 0.0544 eV/atom; final energy = -17.5 eV for the cell shown; SG = R3m (160); M_tot = 0.00 μB per cell; V = 39.13 Å³/atom; distance to the lowest polymorph of the same formula = 0.0217 eV/atom
1.0
1.9166 1.1066 12.2989
-1.9166 1.1066 12.2989
0.0000 -2.2131 12.2989
Ac La Er
2 1 1
Direct
0.0000 0.0000 0.0000
0.1720 0.1720 0.1720
0.7540 0.7540 0.7540
0.5857 0.5857 0.5857